Record 1
# Ta2CdPtAu | Alexandria | PBE-GGA | optimized geometry
data_Ta2CdPtAu
_space_group_name_H-M_alt 'P 4/m m m'
_space_group_IT_number 123
_space_group_name_Hall '-P 4 2'
_cell_length_a 4.8958
_cell_length_b 4.8958
_cell_length_c 5.0262
_cell_angle_alpha 90.00
_cell_angle_beta 90.00
_cell_angle_gamma 90.00
loop_
_atom_site_label
_atom_site_type_symbol
_atom_site_fract_x
_atom_site_fract_y
_atom_site_fract_z
Ta1 Ta 0.0000 0.5000 0.0000
Cd1 Cd 0.0000 0.0000 0.5000
Pt1 Pt 0.0000 0.0000 0.0000
Au1 Au 0.5000 0.5000 0.5000
# Calculated volume = 120.5 Å³/cell
# Total moment = 0.0 μB per formula unit
# Total DFT energy (no corrections) = -28.88 eV for the cell shown
# Formation energy = 5.06 eV/f.u.
# Mass density = 11.9 g/cm3

---

Record 2
# TbCdPtAu | Alexandria | PBE-GGA | optimized geometry
data_TbCdPtAu
_space_group_name_H-M_alt 'F -4 3 m'
_space_group_IT_number 216
_space_group_name_Hall 'F -4 2 3'
_cell_length_a 6.9068
_cell_length_b 6.9068
_cell_length_c 6.9068
_cell_angle_alpha 90.00
_cell_angle_beta 90.00
_cell_angle_gamma 90.00
loop_
_atom_site_label
_atom_site_type_symbol
_atom_site_fract_x
_atom_site_fract_y
_atom_site_fract_z
Tb1 Tb 0.0000 0.0000 0.0000
Cd1 Cd 0.0000 0.0000 0.5000
Pt1 Pt 0.2500 0.2500 0.2500
Au1 Au 0.2500 0.2500 0.7500
# Calculated volume = 329.5 Å³/cell
# Total moment = 0.0 μB per formula unit
# Total DFT energy (no corrections) = -71.33 eV for the cell shown
# Formation energy = -2.97 eV/f.u.
# Mass density = 13.4 g/cm3

---

Record 3
# Tb4CdPtAu2 | Alexandria | PBE-GGA | optimized geometry
data_Tb4CdPtAu2
_space_group_name_H-M_alt 'R -3 m'
_space_group_IT_number 166
_space_group_name_Hall '-R 3 2"'
_cell_length_a 5.1085
_cell_length_b 5.1085
_cell_length_c 25.1949
_cell_angle_alpha 90.00
_cell_angle_beta 90.00
_cell_angle_gamma 120.00
loop_
_atom_site_label
_atom_site_type_symbol
_atom_site_fract_x
_atom_site_fract_y
_atom_site_fract_z
Tb1 Tb 0.0000 0.0000 0.1171
Tb2 Tb 0.0000 0.0000 0.3690
Cd1 Cd 0.0000 0.0000 0.5000
Pt1 Pt 0.0000 0.0000 0.0000
Au1 Au 0.0000 0.0000 0.2388
# Calculated volume = 569.4 Å³/cell
# Total moment = 0.0 μB per formula unit
# Total DFT energy (no corrections) = -115.85 eV for the cell shown
# Formation energy = -6.59 eV/f.u.
# Mass density = 11.7 g/cm3

---

Record 4
# TlCdPtAu | Alexandria | PBE-GGA | optimized geometry
data_TlCdPtAu
_space_group_name_H-M_alt 'F -4 3 m'
_space_group_IT_number 216
_space_group_name_Hall 'F -4 2 3'
_cell_length_a 6.7931
_cell_length_b 6.7931
_cell_length_c 6.7931
_cell_angle_alpha 90.00
_cell_angle_beta 90.00
_cell_angle_gamma 90.00
loop_
_atom_site_label
_atom_site_type_symbol
_atom_site_fract_x
_atom_site_fract_y
_atom_site_fract_z
Tl1 Tl 0.0000 0.0000 0.0000
Cd1 Cd 0.0000 0.0000 0.5000
Pt1 Pt 0.2500 0.2500 0.2500
Au1 Au 0.2500 0.2500 0.7500
# Calculated volume = 313.5 Å³/cell
# Total moment = 0.0 μB per formula unit
# Total DFT energy (no corrections) = -50.36 eV for the cell shown
# Formation energy = 0.01 eV/f.u.
# Mass density = 15.0 g/cm3

---

Record 5
# Tm4CdPtAu2 | Alexandria | PBE-GGA | optimized geometry
data_Tm4CdPtAu2
_space_group_name_H-M_alt 'R -3 m'
_space_group_IT_number 166
_space_group_name_Hall '-R 3 2"'
_cell_length_a 5.0248
_cell_length_b 5.0248
_cell_length_c 24.7234
_cell_angle_alpha 90.00
_cell_angle_beta 90.00
_cell_angle_gamma 120.00
loop_
_atom_site_label
_atom_site_type_symbol
_atom_site_fract_x
_atom_site_fract_y
_atom_site_fract_z
Tm1 Tm 0.0000 0.0000 0.1174
Tm2 Tm 0.0000 0.0000 0.3692
Cd1 Cd 0.0000 0.0000 0.5000
Pt1 Pt 0.0000 0.0000 0.0000
Au1 Au 0.0000 0.0000 0.2396
# Calculated volume = 540.6 Å³/cell
# Total moment = 0.0 μB per formula unit
# Total DFT energy (no corrections) = -114.90 eV for the cell shown
# Formation energy = -6.90 eV/f.u.
# Mass density = 12.7 g/cm3

---

Record 6
# TmCdPtAu | Alexandria | PBE-GGA | optimized geometry
data_TmCdPtAu
_space_group_name_H-M_alt 'F -4 3 m'
_space_group_IT_number 216
_space_group_name_Hall 'F -4 2 3'
_cell_length_a 6.8314
_cell_length_b 6.8314
_cell_length_c 6.8314
_cell_angle_alpha 90.00
_cell_angle_beta 90.00
_cell_angle_gamma 90.00
loop_
_atom_site_label
_atom_site_type_symbol
_atom_site_fract_x
_atom_site_fract_y
_atom_site_fract_z
Tm1 Tm 0.0000 0.0000 0.0000
Cd1 Cd 0.0000 0.0000 0.5000
Pt1 Pt 0.2500 0.2500 0.7500
Au1 Au 0.2500 0.2500 0.2500
# Calculated volume = 318.8 Å³/cell
# Total moment = 0.0 μB per formula unit
# Total DFT energy (no corrections) = -71.02 eV for the cell shown
# Formation energy = -3.05 eV/f.u.
# Mass density = 14.0 g/cm3

---

Record 7
# UCdPtAu | Alexandria | PBE-GGA | optimized geometry
data_UCdPtAu
_space_group_name_H-M_alt 'F -4 3 m'
_space_group_IT_number 216
_space_group_name_Hall 'F -4 2 3'
_cell_length_a 6.9155
_cell_length_b 6.9155
_cell_length_c 6.9155
_cell_angle_alpha 90.00
_cell_angle_beta 90.00
_cell_angle_gamma 90.00
loop_
_atom_site_label
_atom_site_type_symbol
_atom_site_fract_x
_atom_site_fract_y
_atom_site_fract_z
U1 U 0.0000 0.0000 0.0000
Cd1 Cd 0.0000 0.0000 0.5000
Pt1 Pt 0.2500 0.2500 0.7500
Au1 Au 0.2500 0.2500 0.2500
# Calculated volume = 330.7 Å³/cell
# Total moment = 2.3 μB per formula unit
# Total DFT energy (no corrections) = -91.31 eV for the cell shown
# Formation energy = -1.31 eV/f.u.
# Mass density = 14.9 g/cm3

---

Record 8
# ZnCd2PtAu | Alexandria | PBE-GGA | optimized geometry
data_ZnCd2PtAu
_space_group_name_H-M_alt 'P 4/m m m'
_space_group_IT_number 123
_space_group_name_Hall '-P 4 2'
_cell_length_a 5.1993
_cell_length_b 5.1993
_cell_length_c 5.2025
_cell_angle_alpha 90.00
_cell_angle_beta 90.00
_cell_angle_gamma 90.00
loop_
_atom_site_label
_atom_site_type_symbol
_atom_site_fract_x
_atom_site_fract_y
_atom_site_fract_z
Zn1 Zn 0.0000 0.0000 0.0000
Cd1 Cd 0.0000 0.5000 0.5000
Pt1 Pt 0.5000 0.5000 0.5000
Au1 Au 0.5000 0.5000 0.0000
# Calculated volume = 140.6 Å³/cell
# Total moment = 0.0 μB per formula unit
# Total DFT energy (no corrections) = -10.92 eV for the cell shown
# Formation energy = 1.50 eV/f.u.
# Mass density = 8.1 g/cm3

---

Record 9
# Pu3Cd2Au8 | Alexandria | PBE-GGA | optimized geometry
data_Pu3Cd2Au8
_space_group_name_H-M_alt 'R -3 m'
_space_group_IT_number 166
_space_group_name_Hall '-R 3 2"'
_cell_length_a 5.5448
_cell_length_b 5.5448
_cell_length_c 35.8307
_cell_angle_alpha 90.00
_cell_angle_beta 90.00
_cell_angle_gamma 120.00
loop_
_atom_site_label
_atom_site_type_symbol
_atom_site_fract_x
_atom_site_fract_y
_atom_site_fract_z
Pu1 Pu 0.0000 0.0000 0.0000
Pu2 Pu 0.0000 0.0000 0.2360
Cd1 Cd 0.0000 0.0000 0.3937
Au1 Au 0.0000 0.0000 0.3171
Au2 Au 0.0039 0.5019 0.7984
# Calculated volume = 954.0 Å³/cell
# Total moment = 5.6 μB per formula unit
# Total DFT energy (no corrections) = -218.51 eV for the cell shown
# Formation energy = -1.79 eV/f.u.
# Mass density = 13.2 g/cm3

---

Record 10
# PuCd2Au6 | Alexandria | PBE-GGA | optimized geometry
data_PuCd2Au6
_space_group_name_H-M_alt 'I m m m'
_space_group_IT_number 71
_space_group_name_Hall '-I 2 2'
_cell_length_a 3.1129
_cell_length_b 8.2846
_cell_length_c 14.2056
_cell_angle_alpha 90.00
_cell_angle_beta 90.00
_cell_angle_gamma 90.00
loop_
_atom_site_label
_atom_site_type_symbol
_atom_site_fract_x
_atom_site_fract_y
_atom_site_fract_z
Pu1 Pu 0.0000 0.0000 0.0000
Cd1 Cd 0.0000 0.5000 0.1497
Au1 Au 0.0000 0.1700 0.5000
Au2 Au 0.0000 0.3278 0.3259
# Calculated volume = 366.4 Å³/cell
# Total moment = 5.7 μB per formula unit
# Total DFT energy (no corrections) = -75.44 eV for the cell shown
# Formation energy = -1.89 eV/f.u.
# Mass density = 15.0 g/cm3

---

Record 11
# Pu2Cd3Au2 | Alexandria | PBE-GGA | optimized geometry
data_Pu2Cd3Au2
_space_group_name_H-M_alt 'C 1 2/m 1'
_space_group_IT_number 12
_cell_length_a 10.5701
_cell_length_b 4.3479
_cell_length_c 7.4421
_cell_angle_alpha 90.00
_cell_angle_beta 93.47
_cell_angle_gamma 90.00
loop_
_space_group_symop_operation_xyz
'x,y,z'
'-x,-y,-z'
'-x,y,-z'
'x,-y,z'
'x+1/2,y+1/2,z'
'-x+1/2,-y+1/2,-z'
'-x+1/2,y+1/2,-z'
'x+1/2,-y+1/2,z'
loop_
_atom_site_label
_atom_site_type_symbol
_atom_site_fract_x
_atom_site_fract_y
_atom_site_fract_z
Pu1 Pu 0.1182 0.0000 0.3469
Cd1 Cd 0.0000 0.5000 0.0000
Cd2 Cd 0.1902 0.0000 0.8741
Au1 Au 0.0988 0.5000 0.6408
# Calculated volume = 341.4 Å³/cell
# Total moment = 11.6 μB per formula unit
# Total DFT energy (no corrections) = -79.16 eV for the cell shown
# Formation energy = -1.62 eV/f.u.
# Mass density = 11.9 g/cm3

---

Record 12
# PuCd2Au3 | Alexandria | PBE-GGA | optimized geometry
data_PuCd2Au3
_space_group_name_H-M_alt 'P 4/m m m'
_space_group_IT_number 123
_space_group_name_Hall '-P 4 2'
_cell_length_a 3.3971
_cell_length_b 3.3971
_cell_length_c 10.9168
_cell_angle_alpha 90.00
_cell_angle_beta 90.00
_cell_angle_gamma 90.00
loop_
_atom_site_label
_atom_site_type_symbol
_atom_site_fract_x
_atom_site_fract_y
_atom_site_fract_z
Pu1 Pu 0.0000 0.0000 0.0000
Cd1 Cd 0.0000 0.0000 0.3435
Au1 Au 0.5000 0.5000 0.1841
Au2 Au 0.5000 0.5000 0.5000
# Calculated volume = 126.0 Å³/cell
# Total moment = 5.5 μB per formula unit
# Total DFT energy (no corrections) = -27.65 eV for the cell shown
# Formation energy = -1.65 eV/f.u.
# Mass density = 14.0 g/cm3

---

- Number 5 is which compound?
  Tm4CdPtAu2